1.
VASP calculation (GGA-PBE) on a geometry-optimized Tm2SnPd9 structure.

## Properties
* M_tot: 0.00 Bohr magnetons per cell
* space group: No. 123
* density of states at the Fermi level: 0.431 states/eV per atom
* total DFT energy (no corrections): -69.0 eV for the cell shown
* energy of formation: -778 meV/atom

Unit cell a=4.086 b=4.086 c=12.174 alpha=90.00 beta=90.00 gamma=90.00
Fractional coordinates of all 12 atoms:
Pd 0.500 0.500 0.000
Pd 0.500 0.500 0.331
Pd 0.000 0.500 0.838
Pd 0.000 0.500 0.162
Pd 0.500 0.000 0.838
Pd 0.500 0.000 0.500
Pd 0.500 0.000 0.162
Pd 0.000 0.500 0.500
Sn 0.000 0.000 0.000
Tm 0.000 0.000 0.332
Tm 0.000 0.000 0.668
Pd 0.500 0.500 0.669



2.
VASP calculation (GGA-PBE) on a geometry-optimized LaZrN3 structure.

## Properties
* M_tot: 0.00 Bohr magnetons per cell
* space group: No. 221
* density of states at the Fermi level: 0.446 states/eV per atom
* total DFT energy (no corrections): -34.3 eV for the cell shown

Unit cell a=4.268 b=4.268 c=4.268 alpha=90.00 beta=90.00 gamma=90.00
Fractional coordinates of all 5 atoms:
Zr 0.500 0.500 0.500
N 0.000 0.000 0.500
N 0.500 0.000 0.000
N 0.000 0.500 0.000
La 0.000 0.000 0.000



3.
VASP calculation (GGA-PBE) on a geometry-optimized BaEuEr structure.

## Properties
* M_tot: 7.78 Bohr magnetons per cell
* space group: No. 156
* density of states at the Fermi level: 2.099 states/eV per atom
* total DFT energy (no corrections): -16.2 eV for the cell shown
* energy of formation: 184 meV/atom
* ΔE to the lowest computed polymorph: 0.0 meV per atom

Unit cell a=3.881 b=3.881 c=9.621 alpha=90.00 beta=90.00 gamma=120.00
Fractional coordinates of all 3 atoms:
Eu 0.333 0.667 0.643
Er 0.667 0.333 0.345
Ba 0.000 0.000 0.012



4.
VASP calculation (GGA-PBE) on a geometry-optimized ZrTaGa2Cl structure.

## Properties
* M_tot: 0.00 Bohr magnetons per cell
* space group: No. 123
* density of states at the Fermi level: 2.048 states/eV per atom
* total DFT energy (no corrections): -23.2 eV for the cell shown

Unit cell a=5.177 b=4.693 c=5.177 alpha=90.00 beta=90.00 gamma=90.00
Fractional coordinates of all 5 atoms:
Ta 0.500 0.500 0.500
Cl 0.000 0.500 0.000
Ga 0.500 0.000 0.000
Ga 0.000 0.000 0.500
Zr 0.000 0.000 0.000



5.
VASP calculation (GGA-PBE) on a geometry-optimized RbTeSe2Br structure.

## Properties
* M_tot: 0.00 Bohr magnetons per cell
* space group: No. 123
* density of states at the Fermi level: 0.214 states/eV per atom
* total DFT energy (no corrections): -15.0 eV for the cell shown
* ΔE to the lowest computed polymorph: 0.0 meV per atom

Unit cell a=5.456 b=5.456 c=5.838 alpha=90.00 beta=90.00 gamma=90.00
Fractional coordinates of all 5 atoms:
Se 0.500 0.000 0.000
Se 0.000 0.500 0.000
Te 0.000 0.000 0.000
Br 0.000 0.000 0.500
Rb 0.500 0.500 0.500